1.
# KCaTlF2

Crystalline KCaTlF2 at its relaxed geometry (GGA-PBE, the Alexandria database).

abc: 5.324 5.324 6.029
angles: 90.00 90.00 90.00
Atoms (fractional coordinates):
K (0.000, 0.000, 0.000)
Ca (0.500, 0.500, 0.000)
Tl (0.500, 0.500, 0.500)
F (0.000, 0.500, 0.500)
F (0.500, 0.000, 0.500)

Results
Crystal system ... tetragonal
E_tot ... -2.88 eV per atom
DOS at the Fermi energy ... 0.398 states/eV per atom

---

2.
# K2CaTl3F12

Crystalline K2CaTl3F12 at its relaxed geometry (GGA-PBE, the Alexandria database).

abc: 8.319 8.319 8.319
angles: 60.44 60.44 60.44
Atoms (fractional coordinates):
K (0.192, 0.192, 0.192)
K (0.808, 0.808, 0.808)
Ca (0.500, 0.500, 0.500)
Tl (0.000, 0.500, 0.500)
Tl (0.500, 0.000, 0.500)
Tl (0.500, 0.500, 0.000)
F (0.173, 0.574, 0.574)
F (0.180, 0.180, 0.545)
F (0.180, 0.545, 0.180)
F (0.426, 0.426, 0.827)
F (0.426, 0.827, 0.426)
F (0.455, 0.820, 0.820)
F (0.545, 0.180, 0.180)
F (0.574, 0.173, 0.574)
F (0.574, 0.574, 0.173)
F (0.820, 0.455, 0.820)
F (0.820, 0.820, 0.455)
F (0.827, 0.426, 0.426)

Results
Crystal system ... trigonal
E_tot ... -4.24 eV per atom
DOS at the Fermi energy ... 0.161 states/eV per atom

---

3.
# KCaTlF6

Crystalline KCaTlF6 at its relaxed geometry (GGA-PBE, the Alexandria database).

abc: 8.259 8.259 8.259
angles: 122.06 119.62 88.57
Atoms (fractional coordinates):
K (0.294, 0.044, 0.250)
K (0.706, 0.956, 0.750)
Ca (0.000, 0.000, 0.500)
Ca (0.000, 0.500, 0.000)
Tl (0.000, 0.500, 0.500)
Tl (0.500, 0.500, 0.000)
F (0.057, 0.411, 0.238)
F (0.057, 0.819, 0.645)
F (0.078, 0.828, 0.250)
F (0.321, 0.571, 0.750)
F (0.327, 0.181, 0.738)
F (0.327, 0.589, 0.145)
F (0.673, 0.411, 0.855)
F (0.673, 0.819, 0.262)
F (0.679, 0.429, 0.250)
F (0.922, 0.172, 0.750)
F (0.943, 0.181, 0.355)
F (0.943, 0.589, 0.762)

Results
Crystal system ... orthorhombic
E_tot ... -4.57 eV per atom
DOS at the Fermi energy ... 0.000 states/eV per atom

---

4.
# K2Ca3TmF12

Crystalline K2Ca3TmF12 at its relaxed geometry (GGA-PBE, the Alexandria database).

abc: 8.285 8.285 8.285
angles: 57.78 57.78 57.78
Atoms (fractional coordinates):
K (0.089, 0.089, 0.089)
K (0.911, 0.911, 0.911)
Ca (0.000, 0.500, 0.500)
Ca (0.500, 0.000, 0.500)
Ca (0.500, 0.500, 0.000)
Tm (0.500, 0.500, 0.500)
F (0.157, 0.157, 0.598)
F (0.157, 0.598, 0.157)
F (0.190, 0.563, 0.563)
F (0.402, 0.843, 0.843)
F (0.437, 0.437, 0.810)
F (0.437, 0.810, 0.437)
F (0.563, 0.190, 0.563)
F (0.563, 0.563, 0.190)
F (0.598, 0.157, 0.157)
F (0.810, 0.437, 0.437)
F (0.843, 0.402, 0.843)
F (0.843, 0.843, 0.402)

Results
Crystal system ... trigonal
E_tot ... -5.37 eV per atom
DOS at the Fermi energy ... 1.044 states/eV per atom

---

Here are the calculated formation energy without anion corrections numbers, same order: -1.0363; -2.3630; -2.7158; -3.4184 (eV/atom).
Here are the calculated M_tot numbers, same order: 0.0; 0.0; 0.0; 1.3 (μB per cell).